(1)
## Ce2Ga4Ag3 (PBE-GGA)

Data for a relaxed structure of Ce2Ga4Ag3.

Geometry as CIF:
```
data_Ce2Ga4Ag3
_chemical_formula_sum 'Ce8 Ga16 Ag12'
_symmetry_space_group_name_H-M 'C m c e'
_symmetry_Int_Tables_number 64
_symmetry_space_group_name_Hall '-C 2ac 2'
_cell_length_a 5.930
_cell_length_b 15.810
_cell_length_c 7.870
_cell_angle_alpha 90.00
_cell_angle_beta 90.00
_cell_angle_gamma 90.00
loop_
_atom_site_label
_atom_site_type_symbol
_atom_site_fract_x
_atom_site_fract_y
_atom_site_fract_z
Ce1 Ce 0.000 0.105 0.094
Ga1 Ga 0.000 0.175 0.479
Ga2 Ga 0.250 0.060 0.750
Ag1 Ag 0.000 0.000 0.500
Ag2 Ag 0.250 0.228 0.750
```



(2)
## CeGaAg4 (PBE-GGA)

Data for a relaxed structure of CeGaAg4.

Results
Polymorph energy (0 for the lowest one)   0.0 meV/atom

Geometry as CIF:
```
data_CeGaAg4
_chemical_formula_sum 'Ce4 Ga4 Ag16'
_symmetry_space_group_name_H-M 'F -4 3 m'
_symmetry_Int_Tables_number 216
_symmetry_space_group_name_Hall 'F -4 2 3'
_cell_length_a 7.927
_cell_length_b 7.927
_cell_length_c 7.927
_cell_angle_alpha 90.00
_cell_angle_beta 90.00
_cell_angle_gamma 90.00
loop_
_atom_site_label
_atom_site_type_symbol
_atom_site_fract_x
_atom_site_fract_y
_atom_site_fract_z
Ce1 Ce 0.000 0.000 0.000
Ga1 Ga 0.250 0.250 0.750
Ag1 Ag 0.125 0.125 0.375
```



(3)
## Ce4Ga3Ag (PBE-GGA)

Data for a relaxed structure of Ce4Ga3Ag.

Geometry as CIF:
```
data_Ce4Ga3Ag
_chemical_formula_sum 'Ce4 Ga3 Ag1'
_symmetry_space_group_name_H-M 'P m m m'
_symmetry_Int_Tables_number 47
_cell_length_a 4.476
_cell_length_b 4.488
_cell_length_c 8.987
_cell_angle_alpha 90.00
_cell_angle_beta 90.00
_cell_angle_gamma 90.00
loop_
_symmetry_equiv_pos_as_xyz
'x,y,z'
'-x,-y,-z'
'-x,-y,z'
'x,y,-z'
'x,-y,-z'
'-x,y,z'
'-x,y,-z'
'x,-y,z'
loop_
_atom_site_label
_atom_site_type_symbol
_atom_site_fract_x
_atom_site_fract_y
_atom_site_fract_z
Ce1 Ce 0.000 0.000 0.000
Ce2 Ce 0.000 0.000 0.500
Ce3 Ce 0.000 0.500 0.248
Ga1 Ga 0.500 0.000 0.249
Ga2 Ga 0.500 0.500 0.000
Ag1 Ag 0.500 0.500 0.500
```



(4)
## Ce2GaAg (PBE-GGA)

Data for a relaxed structure of Ce2GaAg.

Geometry as CIF:
```
data_Ce2GaAg
_chemical_formula_sum 'Ce6 Ga3 Ag3'
_symmetry_space_group_name_H-M 'R -3 m'
_symmetry_Int_Tables_number 166
_symmetry_space_group_name_Hall '-R 3 2"'
_cell_length_a 3.0407
_cell_length_b 3.0407
_cell_length_c 34.3237
_cell_angle_alpha 90.00
_cell_angle_beta 90.00
_cell_angle_gamma 120.00
loop_
_atom_site_label
_atom_site_type_symbol
_atom_site_fract_x
_atom_site_fract_y
_atom_site_fract_z
Ce1 Ce 0.0000 0.0000 0.0907
Ga1 Ga 0.0000 0.0000 0.5000
Ag1 Ag 0.0000 0.0000 0.0000
```



(5)
## CeGa3Ag (PBE-GGA)

Data for a relaxed structure of CeGa3Ag.

Results
Polymorph energy (0 for the lowest one)   0.0 meV/atom

Geometry as CIF:
```
data_CeGa3Ag
_chemical_formula_sum 'Ce2 Ga6 Ag2'
_symmetry_space_group_name_H-M 'I -4 m 2'
_symmetry_Int_Tables_number 119
_symmetry_space_group_name_Hall 'I -4 -2'
_cell_length_a 4.302
_cell_length_b 4.302
_cell_length_c 10.903
_cell_angle_alpha 90.00
_cell_angle_beta 90.00
_cell_angle_gamma 90.00
loop_
_atom_site_label
_atom_site_type_symbol
_atom_site_fract_x
_atom_site_fract_y
_atom_site_fract_z
Ce1 Ce 0.000 0.000 0.000
Ga1 Ga 0.000 0.000 0.388
Ga2 Ga 0.000 0.500 0.250
Ag1 Ag 0.000 0.500 0.750
```



(6)
## Ce2Ga3Ag5 (PBE-GGA)

Data for a relaxed structure of Ce2Ga3Ag5.

Results
Polymorph energy (0 for the lowest one)   0.0 meV/atom

Geometry as CIF:
```
data_Ce2Ga3Ag5
_chemical_formula_sum 'Ce8 Ga12 Ag20'
_symmetry_space_group_name_H-M 'C m c 21'
_symmetry_Int_Tables_number 36
_cell_length_a 4.628
_cell_length_b 25.118
_cell_length_c 7.105
_cell_angle_alpha 90.00
_cell_angle_beta 90.00
_cell_angle_gamma 90.00
loop_
_symmetry_equiv_pos_as_xyz
'x,y,z'
'-x,-y,z+1/2'
'-x,y,z'
'x,-y,z+1/2'
'x+1/2,y+1/2,z'
'-x+1/2,-y+1/2,z+1/2'
'-x+1/2,y+1/2,z'
'x+1/2,-y+1/2,z+1/2'
loop_
_atom_site_label
_atom_site_type_symbol
_atom_site_fract_x
_atom_site_fract_y
_atom_site_fract_z
Ce1 Ce 0.000 0.014 0.000
Ce2 Ce 0.000 0.329 0.016
Ga1 Ga 0.000 0.104 0.691
Ga2 Ga 0.000 0.267 0.552
Ga3 Ga 0.000 0.448 0.802
Ag1 Ag 0.000 0.106 0.296
Ag2 Ag 0.000 0.199 0.849
Ag3 Ag 0.000 0.216 0.238
Ag4 Ag 0.000 0.374 0.517
Ag5 Ag 0.000 0.448 0.203
```



(7)
## CeGa2Ag (PBE-GGA)

Data for a relaxed structure of CeGa2Ag.

Results
Polymorph energy (0 for the lowest one)   184.1 meV/atom

Geometry as CIF:
```
data_CeGa2Ag
_chemical_formula_sum 'Ce1 Ga2 Ag1'
_symmetry_space_group_name_H-M 'P 4/m m m'
_symmetry_Int_Tables_number 123
_symmetry_space_group_name_Hall '-P 4 2'
_cell_length_a 3.305
_cell_length_b 3.305
_cell_length_c 7.380
_cell_angle_alpha 90.00
_cell_angle_beta 90.00
_cell_angle_gamma 90.00
loop_
_atom_site_label
_atom_site_type_symbol
_atom_site_fract_x
_atom_site_fract_y
_atom_site_fract_z
Ce1 Ce 0.000 0.000 0.000
Ga1 Ga 0.500 0.500 0.283
Ag1 Ag 0.000 0.000 0.500
```



(8)
## Ce4GaAg4 (PBE-GGA)

Data for a relaxed structure of Ce4GaAg4.

Geometry as CIF:
```
data_Ce4GaAg4
_chemical_formula_sum 'Ce8 Ga2 Ag8'
_symmetry_space_group_name_H-M 'P 42/n m c'
_symmetry_Int_Tables_number 137
_cell_length_a 8.494
_cell_length_b 8.494
_cell_length_c 6.296
_cell_angle_alpha 90.00
_cell_angle_beta 90.00
_cell_angle_gamma 90.00
loop_
_symmetry_equiv_pos_as_xyz
'x,y,z'
'-x,-y,-z'
'-y+1/2,x,z+1/2'
'y+1/2,-x,-z+1/2'
'-x+1/2,-y+1/2,z'
'x+1/2,y+1/2,-z'
'y,-x+1/2,z+1/2'
'-y,x+1/2,-z+1/2'
'x+1/2,-y,-z'
'-x+1/2,y,z'
'-y,-x,-z+1/2'
'y,x,z+1/2'
'-x,y+1/2,-z'
'x,-y+1/2,z'
'y+1/2,x+1/2,-z+1/2'
'-y+1/2,-x+1/2,z+1/2'
loop_
_atom_site_label
_atom_site_type_symbol
_atom_site_fract_x
_atom_site_fract_y
_atom_site_fract_z
Ce1 Ce 0.045 0.750 0.138
Ga1 Ga 0.250 0.750 0.750
Ag1 Ag 0.044 0.250 0.373
```



(9)
## Ce8Ga2Ag (PBE-GGA)

Data for a relaxed structure of Ce8Ga2Ag.

Geometry as CIF:
```
data_Ce8Ga2Ag
_chemical_formula_sum 'Ce16 Ga4 Ag2'
_symmetry_space_group_name_H-M 'C 1 2/m 1'
_symmetry_Int_Tables_number 12
_cell_length_a 17.484
_cell_length_b 5.086
_cell_length_c 6.926
_cell_angle_alpha 90.00
_cell_angle_beta 113.27
_cell_angle_gamma 90.00
loop_
_symmetry_equiv_pos_as_xyz
'x,y,z'
'-x,-y,-z'
'-x,y,-z'
'x,-y,z'
'x+1/2,y+1/2,z'
'-x+1/2,-y+1/2,-z'
'-x+1/2,y+1/2,-z'
'x+1/2,-y+1/2,z'
loop_
_atom_site_label
_atom_site_type_symbol
_atom_site_fract_x
_atom_site_fract_y
_atom_site_fract_z
Ce1 Ce 0.000 0.000 0.195
Ce2 Ce 0.149 0.500 0.381
Ce3 Ce 0.149 0.500 0.918
Ce4 Ce 0.202 0.000 0.700
Ga1 Ga 0.185 0.000 0.185
Ag1 Ag 0.000 0.500 0.500
```



(10)
## Ce3Ga2Ag (PBE-GGA)

Data for a relaxed structure of Ce3Ga2Ag.

Geometry as CIF:
```
data_Ce3Ga2Ag
_chemical_formula_sum 'Ce3 Ga2 Ag1'
_symmetry_space_group_name_H-M 'P 4/m m m'
_symmetry_Int_Tables_number 123
_symmetry_space_group_name_Hall '-P 4 2'
_cell_length_a 3.227
_cell_length_b 3.227
_cell_length_c 13.192
_cell_angle_alpha 90.00
_cell_angle_beta 90.00
_cell_angle_gamma 90.00
loop_
_atom_site_label
_atom_site_type_symbol
_atom_site_fract_x
_atom_site_fract_y
_atom_site_fract_z
Ce1 Ce 0.000 0.000 0.000
Ce2 Ce 0.000 0.000 0.326
Ga1 Ga 0.500 0.500 0.165
Ag1 Ag 0.500 0.500 0.500
```



(11)
## Ce2Ga3Ag2 (PBE-GGA)

Data for a relaxed structure of Ce2Ga3Ag2.

Results
Polymorph energy (0 for the lowest one)   51.0 meV/atom

Geometry as CIF:
```
data_Ce2Ga3Ag2
_chemical_formula_sum 'Ce4 Ga6 Ag4'
_symmetry_space_group_name_H-M 'C 1 2/m 1'
_symmetry_Int_Tables_number 12
_cell_length_a 10.595
_cell_length_b 4.563
_cell_length_c 6.682
_cell_angle_alpha 90.00
_cell_angle_beta 111.75
_cell_angle_gamma 90.00
loop_
_symmetry_equiv_pos_as_xyz
'x,y,z'
'-x,-y,-z'
'-x,y,-z'
'x,-y,z'
'x+1/2,y+1/2,z'
'-x+1/2,-y+1/2,-z'
'-x+1/2,y+1/2,-z'
'x+1/2,-y+1/2,z'
loop_
_atom_site_label
_atom_site_type_symbol
_atom_site_fract_x
_atom_site_fract_y
_atom_site_fract_z
Ce1 Ce 0.156 0.000 0.271
Ga1 Ga 0.000 0.500 0.500
Ga2 Ga 0.094 0.500 0.927
Ag1 Ag 0.146 0.000 0.751
```



(12)
## CeGa2Ag (PBE-GGA)

Data for a relaxed structure of CeGa2Ag.

Results
Polymorph energy (0 for the lowest one)   117.7 meV/atom

Geometry as CIF:
```
data_CeGa2Ag
_chemical_formula_sum 'Ce4 Ga8 Ag4'
_symmetry_space_group_name_H-M 'P n m a'
_symmetry_Int_Tables_number 62
_cell_length_a 8.352
_cell_length_b 6.773
_cell_length_c 6.006
_cell_angle_alpha 90.00
_cell_angle_beta 90.00
_cell_angle_gamma 90.00
loop_
_symmetry_equiv_pos_as_xyz
'x,y,z'
'-x,-y,-z'
'-x+1/2,-y,z+1/2'
'x+1/2,y,-z+1/2'
'x+1/2,-y+1/2,-z+1/2'
'-x+1/2,y+1/2,z+1/2'
'-x,y+1/2,-z'
'x,-y+1/2,z'
loop_
_atom_site_label
_atom_site_type_symbol
_atom_site_fract_x
_atom_site_fract_y
_atom_site_fract_z
Ce1 Ce 0.033 0.250 0.137
Ga1 Ga 0.202 0.054 0.599
Ag1 Ag 0.081 0.750 0.362
```



The following DFT formation energy values (in kJ per mole of atoms) correspond, in order, to the records above: -30.5, -10.0, -36.8, 3.6, -40.2, -23.6, -25.1, 11.9, -13.6, -34.4, -33.5, -31.5.
The following total magnetization values (in μB per cell) correspond, in order, to the records above: 7.502, 3.995, 0.365, 0.590, 1.768, 5.571, 0.712, 5.979, 10.507, 0.060, 2.950, 3.162.
The following DFT total energy values (in eV/atom) correspond, in order, to the records above: -3.930, -3.498, -4.840, -4.399, -3.990, -3.765, -3.970, -4.118, -5.266, -4.807, -4.154, -4.036.